# 1
Ni2SbP | Alexandria | GGA-PBEsol | relaxed; total magnetic moment = 0.000 μB/cell; calculated density = 7.90 g cm⁻³; energy relative to the elements, uncorrected = -34 meV per atom; energy above the most stable polymorph in this dataset = 109 meV/atom
1.0
-2.433 0.091 -1.656
1.626 -0.442 -2.414
-0.719 -6.469 0.700
P Ni Sb
1 2 1
Cartesian
-0.403 -0.175 -2.035 P
-0.584 -5.250 0.568 Ni
-0.136 -1.219 0.132 Ni
-0.763 -3.410 -1.685 Sb



# 2
BePbOF2 | Alexandria | GGA-PBEsol | relaxed; total magnetic moment = 0.918 μB/cell; calculated density = 5.15 g cm⁻³; energy relative to the elements, uncorrected = -614 meV per atom
1.0
4.238 0.000 0.000
0.000 4.533 0.000
0.000 0.000 4.533
F Be O Pb
2 1 1 1
Cartesian
0.000 2.266 0.000 F
0.000 0.000 2.266 F
2.119 2.266 2.266 Be
2.119 0.000 0.000 O
0.000 0.000 0.000 Pb



# 3
La3YAs | Alexandria | GGA-PBEsol | relaxed; total magnetic moment = 0.000 μB/cell; formation energy = 0.5645 eV/atom; calculated density = 5.78 g cm⁻³
1.0
-2.468 4.445 2.107
-4.884 -2.496 -0.455
0.588 -2.074 5.064
Y La As
1 3 1
Cartesian
0.000 0.000 0.000 Y
-1.234 2.223 1.053 La
-2.442 -1.248 -0.227 La
0.294 -1.037 2.532 La
-3.382 -0.062 3.358 As



# 4
Ta3NiH | Alexandria | GGA-PBEsol | relaxed; total magnetic moment = 0.000 μB/cell; calculated density = 15.10 g cm⁻³; total DFT energy (no corrections) = -9.40 eV/atom
1.0
-2.638 2.975 0.751
-1.895 -0.801 -3.485
-2.414 -2.624 1.915
Ni Ta H
1 3 1
Cartesian
-3.473 -0.224 -0.409 Ni
-0.948 -0.400 -1.742 Ta
-1.207 -1.312 0.958 Ta
-1.319 1.488 0.376 Ta
0.000 0.000 0.000 H



# 5
Nb2Co2Ru | Alexandria | GGA-PBEsol | relaxed; total magnetic moment = 0.002 μB/cell; formation energy = -0.1213 eV/atom; calculated density = 9.78 g cm⁻³
1.0
-0.929 -2.672 -1.354
1.247 -3.279 5.613
-6.198 1.124 2.034
Ru Co Nb
2 4 4
Cartesian
0.000 0.000 0.000 Ru
-2.475 -1.077 3.823 Ru
0.017 -1.904 3.744 Co
-2.187 0.022 1.455 Co
-2.764 -2.177 6.191 Co
-4.968 -0.251 3.903 Co
-4.450 -1.160 1.709 Nb
-4.705 -2.640 4.804 Nb
-1.175 -2.187 1.488 Nb
-1.430 -3.667 4.583 Nb



# 6
NbAlFe2Hg | Alexandria | GGA-PBEsol | relaxed; total magnetic moment = 4.642 μB/cell; formation energy = 1.1386 eV/atom; calculated density = 8.31 g cm⁻³
1.0
4.322 0.000 0.000
0.000 4.322 0.000
0.000 0.000 4.622
Fe Hg Nb Al
2 1 1 1
Cartesian
0.000 2.161 0.000 Fe
2.161 0.000 0.000 Fe
0.000 0.000 2.311 Hg
2.161 2.161 2.311 Nb
0.000 0.000 0.000 Al



# 7
Li2Be2Cd | Alexandria | GGA-PBEsol | relaxed; total magnetic moment = 0.000 μB/cell; formation energy = 0.3078 eV/atom; calculated density = 3.78 g cm⁻³
1.0
2.772 0.000 0.000
0.000 6.763 0.000
0.000 0.000 6.763
Be Li Cd
4 4 2
Cartesian
1.386 5.779 2.398 Be
1.386 4.365 5.779 Be
1.386 0.983 4.365 Be
1.386 2.398 0.983 Be
0.000 4.330 0.949 Li
0.000 2.433 5.814 Li
0.000 5.814 4.330 Li
0.000 0.949 2.433 Li
0.000 0.000 0.000 Cd
0.000 3.381 3.381 Cd



# 8
Al3Fe | Alexandria | GGA-PBEsol | relaxed; total magnetic moment = 0.001 μB/cell; formation energy = -0.3040 eV/atom; calculated density = 4.00 g cm⁻³
1.0
-1.954 2.612 -3.251
-5.809 -2.990 1.089
-1.677 5.125 5.125
Al Fe
12 4
Cartesian
-7.223 5.172 2.620 Al
-6.349 0.818 1.860 Al
-4.377 1.391 -0.124 Al
-5.711 -1.134 -0.092 Al
-7.893 0.713 -0.596 Al
-2.217 -0.425 0.343 Al
-1.547 4.033 3.560 Al
-2.856 1.527 2.295 Al
-3.091 3.928 1.103 Al
-3.730 5.880 3.055 Al
-6.584 3.220 0.668 Al
-5.063 3.355 3.087 Al
-5.160 5.139 1.271 Fe
-2.014 1.956 0.085 Fe
-7.426 2.790 2.879 Fe
-4.280 -0.393 1.692 Fe



# 9
InAg4Pb | Alexandria | GGA-PBEsol | relaxed; total magnetic moment = 0.000 μB/cell; formation energy = 0.0320 eV/atom; calculated density = 10.49 g cm⁻³
1.0
5.525 0.000 0.000
2.762 4.785 0.000
2.762 1.595 4.511
In Ag Pb
1 4 1
Cartesian
8.287 4.785 3.383 In
5.525 4.782 1.693 Ag
5.525 3.190 3.944 Ag
6.904 2.394 1.693 Ag
4.146 2.394 1.693 Ag
0.000 0.000 0.000 Pb



# 10
V2H3O5 | Alexandria | GGA-PBEsol | relaxed; total magnetic moment = 3.002 μB/cell; calculated density = 3.77 g cm⁻³; total DFT energy (no corrections) = -7.33 eV/atom
1.0
-0.628 1.130 -2.606
0.229 -4.310 -1.923
-5.509 -0.554 2.710
H O V
3 5 2
Cartesian
-4.110 -0.255 0.879 H
-2.027 -3.161 -2.505 H
-0.542 0.493 -1.279 H
-2.477 -2.321 -2.033 O
-4.437 -3.815 -0.585 O
0.095 -2.132 -0.947 O
-3.447 -1.451 0.201 O
-1.516 0.113 -1.210 O
-4.445 -1.982 -1.412 V
-1.529 -1.703 -0.370 V



# 11
Ca2Ag2Sn | Alexandria | GGA-PBEsol | relaxed; total magnetic moment = 0.000 μB/cell; formation energy = -0.4106 eV/atom; calculated density = 5.76 g cm⁻³
1.0
-2.733 2.043 -2.051
-0.748 -5.940 -4.921
-5.586 -2.992 4.461
Sn Ca Ag
2 4 4
Cartesian
0.000 0.000 0.000 Sn
-3.167 -4.466 -0.230 Sn
-5.285 -2.062 1.123 Ca
-2.600 -1.425 -1.819 Ca
-6.467 -5.464 -0.692 Ca
-3.782 -4.828 -3.634 Ca
-5.177 -4.859 2.057 Ag
-2.195 -1.860 1.071 Ag
-1.156 -4.074 -2.517 Ag
-4.139 -7.072 -1.531 Ag



# 12
TaSiCl2 | Alexandria | GGA-PBEsol | relaxed; total magnetic moment = 0.001 μB/cell; calculated density = 6.94 g cm⁻³; energy relative to the elements, uncorrected = 154 meV per atom; energy above the most stable polymorph in this dataset = 25 meV/atom
1.0
-2.911 -0.435 0.593
0.283 -4.111 -2.752
2.417 -0.107 4.747
Si Ta Cl
1 1 2
Cartesian
-1.314 -2.273 -1.079 Si
0.000 0.000 0.000 Ta
1.208 -0.053 2.374 Cl
-0.106 -2.326 1.294 Cl